# 1
Al2ZnSiCl | Alexandria via LeMat-Bulk | GGA-PBE | optimized geometry; calculated volume = 115.5 Å³ per cell; E_form (uncorrected) = 0.48 eV per atom; space group = P4/mmm; total energy = -2.73 eV per atom
1.0
-0.665 4.785 -1.338
-1.306 1.018 4.290
4.760 1.001 1.212
Zn Al Si Cl
1 2 1 1
Direct
0.000 0.000 0.000
0.000 0.000 0.500
0.500 0.000 0.000
0.000 0.500 0.000
0.500 0.500 0.500

# 2
Cu2RuO | Alexandria via LeMat-Bulk | GGA-PBE | optimized geometry; calculated volume = 98.1 Å³ per cell; E_form (uncorrected) = 0.29 eV per atom; space group = I-42d; total energy = -5.31 eV per atom
1.0
6.994 0.000 0.000
0.000 6.994 0.000
3.497 3.497 2.006
Ru O Cu
2 2 4
Direct
0.000 0.000 0.000
0.750 0.250 0.500
0.500 0.500 0.000
0.250 0.750 0.500
0.545 0.125 0.250
0.205 0.625 0.250
0.375 0.455 0.750
0.875 0.795 0.750

# 3
ZrBeZn2 | Alexandria via LeMat-Bulk | GGA-PBE | optimized geometry; calculated volume = 60.3 Å³ per cell; space group = Pmm2; energy of formation from the pure elements = -67 meV per atom; total energy = -3.77 eV per atom
1.0
2.896 0.000 0.000
0.000 2.980 0.000
0.000 0.000 6.986
Be Zn Zr
1 2 1
Direct
0.500 0.500 0.786
0.000 0.000 0.968
0.500 0.500 0.220
0.000 0.000 0.526

# 4
YTa2Os | Alexandria via LeMat-Bulk | GGA-PBE | optimized geometry; calculated volume = 79.2 Å³ per cell; space group = R-3m; energy of formation from the pure elements = 331 meV per atom; total energy = -10.02 eV per atom
1.0
9.659 -0.040 -0.024
9.173 3.025 -0.024
9.173 1.454 2.652
Os Ta Y
1 2 1
Direct
0.750 0.750 0.750
0.012 0.012 0.012
0.488 0.488 0.488
0.250 0.250 0.250

# 5
CsHf3Re | Alexandria via LeMat-Bulk | GGA-PBE | optimized geometry; calculated volume = 143.2 Å³ per cell; space group = Pm-3m; energy of formation from the pure elements = 834 meV per atom; total energy = -7.80 eV per atom
1.0
5.232 0.000 0.000
0.000 5.232 0.000
0.000 0.000 5.232
Cs Re Hf
1 1 3
Direct
0.500 0.500 0.500
0.000 0.000 0.000
0.000 0.500 0.000
0.000 0.000 0.500
0.500 0.000 0.000

# 6
CaErPt | Alexandria via LeMat-Bulk | GGA-PBE | optimized geometry; calculated volume = 456.8 Å³ per cell; space group = P-62m; energy of formation from the pure elements = -852 meV per atom; total energy = -5.05 eV per atom
1.0
6.899 0.000 3.148
2.453 7.640 3.758
0.129 0.366 8.852
Ca Er Pt
6 6 6
Direct
0.166 0.044 0.544
0.753 0.956 0.456
0.341 0.750 0.250
0.341 0.250 0.750
0.753 0.456 0.956
0.166 0.544 0.044
0.009 0.000 0.000
0.009 0.500 0.500
0.754 0.372 0.372
0.497 0.628 0.628
0.497 0.128 0.128
0.754 0.872 0.872
0.753 0.250 0.750
0.753 0.750 0.250
0.087 0.166 0.167
0.420 0.834 0.833
0.420 0.333 0.334
0.087 0.667 0.666